Entry 1:
A relaxed KNi2As crystal, computed with PBE-GGA.

Geometry as CIF:
```
data_KNi2As
_chemical_formula_sum 'K2 Ni4 As2'
_symmetry_space_group_name_H-M 'P 1'
_symmetry_Int_Tables_number 1
_symmetry_space_group_name_Hall 'P 1'
_cell_length_a 3.6907
_cell_length_b 5.8644
_cell_length_c 8.2535
_cell_angle_alpha 90.00
_cell_angle_beta 90.00
_cell_angle_gamma 90.00
loop_
_atom_site_label
_atom_site_type_symbol
_atom_site_fract_x
_atom_site_fract_y
_atom_site_fract_z
K1 K 0.0000 0.0000 0.0000
K2 K 0.5000 0.5000 0.5000
Ni1 Ni 0.0000 0.5000 0.1564
Ni2 Ni 0.0000 0.5000 0.8436
Ni3 Ni 0.5000 0.0000 0.3436
Ni4 Ni 0.5000 0.0000 0.6564
As1 As 0.0000 0.0000 0.5000
As2 As 0.5000 0.5000 0.0000
```

Symmetry ... Immm (71)
Energy of formation from the pure elements ... 308 meV per atom
Magnetization ... 0.00 Bohr magnetons per cell



Entry 2:
A relaxed Pr8Ge3Br4Cl crystal, computed with PBE-GGA.

Geometry as CIF:
```
data_Pr8Ge3Br4Cl
_chemical_formula_sum 'Pr8 Ge3 Br4 Cl1'
_symmetry_space_group_name_H-M 'P 1'
_symmetry_Int_Tables_number 1
_symmetry_space_group_name_Hall 'P 1'
_cell_length_a 8.8777
_cell_length_b 8.8777
_cell_length_c 8.8777
_cell_angle_alpha 57.61
_cell_angle_beta 57.61
_cell_angle_gamma 57.61
loop_
_atom_site_label
_atom_site_type_symbol
_atom_site_fract_x
_atom_site_fract_y
_atom_site_fract_z
Pr1 Pr 0.2382 0.2382 0.2382
Pr2 Pr 0.2377 0.7365 0.7365
Pr3 Pr 0.2635 0.2635 0.7623
Pr4 Pr 0.2635 0.7623 0.2635
Pr5 Pr 0.7365 0.2377 0.7365
Pr6 Pr 0.7365 0.7365 0.2377
Pr7 Pr 0.7623 0.2635 0.2635
Pr8 Pr 0.7618 0.7618 0.7618
Ge1 Ge 0.0000 0.0000 0.5000
Ge2 Ge 0.0000 0.5000 0.0000
Ge3 Ge 0.5000 0.0000 0.0000
Br1 Br 0.0000 0.0000 0.0000
Br2 Br 0.0000 0.5000 0.5000
Br3 Br 0.5000 0.0000 0.5000
Br4 Br 0.5000 0.5000 0.0000
Cl1 Cl 0.5000 0.5000 0.5000
```

Symmetry ... R-3m (166)
Raw total energy ... -4.981 eV per atom
Magnetization ... 0.00 Bohr magnetons per cell



Entry 3:
A relaxed CdTeRu2 crystal, computed with PBE-GGA.

Geometry as CIF:
```
data_CdTeRu2
_chemical_formula_sum 'Cd1 Te1 Ru2'
_symmetry_space_group_name_H-M 'P 1'
_symmetry_Int_Tables_number 1
_symmetry_space_group_name_Hall 'P 1'
_cell_length_a 3.0218
_cell_length_b 3.0218
_cell_length_c 8.4199
_cell_angle_alpha 90.00
_cell_angle_beta 90.00
_cell_angle_gamma 90.00
loop_
_atom_site_label
_atom_site_type_symbol
_atom_site_fract_x
_atom_site_fract_y
_atom_site_fract_z
Cd1 Cd 0.0000 0.0000 0.0000
Te1 Te 0.5000 0.5000 0.6420
Ru1 Ru 0.0000 0.0000 0.4146
Ru2 Ru 0.5000 0.5000 0.2284
```

Symmetry ... P4mm (99)
Offset from the most stable computed form ... 0.055 eV per atom
Magnetization ... 0.00 Bohr magnetons per cell



Entry 4:
A relaxed DyHo2Tl crystal, computed with PBE-GGA.

Geometry as CIF:
```
data_DyHo2Tl
_chemical_formula_sum 'Dy1 Ho2 Tl1'
_symmetry_space_group_name_H-M 'P 1'
_symmetry_Int_Tables_number 1
_symmetry_space_group_name_Hall 'P 1'
_cell_length_a 4.8381
_cell_length_b 4.8381
_cell_length_c 4.8313
_cell_angle_alpha 90.00
_cell_angle_beta 90.00
_cell_angle_gamma 90.00
loop_
_atom_site_label
_atom_site_type_symbol
_atom_site_fract_x
_atom_site_fract_y
_atom_site_fract_z
Dy1 Dy 0.0000 0.0000 0.0000
Ho1 Ho 0.0000 0.5000 0.5000
Ho2 Ho 0.5000 0.0000 0.5000
Tl1 Tl 0.5000 0.5000 0.0000
```

Symmetry ... P4/mmm (123)
Offset from the most stable computed form ... 0.009 eV per atom
Energy of formation from the pure elements ... -175 meV per atom
Magnetization ... 0.72 Bohr magnetons per cell



| no. | DOS at the Fermi energy (states/eV/cell) |
| --- | --- |
| 1 | 3.8 |
| 2 | 8.1 |
| 3 | 6.0 |
| 4 | 5.3 |